Record 1
DFT (PBE) results for crystalline Ac5Nd2Tl4 at its relaxed geometry.

a = 25.1064 Å, b = 3.8718 Å, c = 9.1190 Å
α = 90.00°, β = 110.11°, γ = 90.00°
Last column: nearest neighbours and their distance in Å.
Space group C2/m (No. 12)
Inequivalent atoms, fractional coordinates:
Ac 0.0000 0.0000 0.0000 x2  4 Tl 3.49, 6 Ac 3.87-3.88
Ac 0.1274 0.5000 0.9548 x4  3 Nd 3.53-3.76, 3 Tl 3.53-3.61, 4 Ac 3.87-3.88
Ac 0.1689 0.5000 0.4255 x4  3 Tl 3.62-3.68, 3 Nd 3.83-3.90, 2 Ac 3.87
Nd 0.2278 0.0000 0.8104 x4  1 Tl 3.35, 3 Ac 3.53-3.76
Tl 0.0141 0.5000 0.3302 x4  5 Tl 3.23-3.41, 3 Ac 3.49-3.61
Tl 0.0879 0.0000 0.6102 x4  4 Tl 3.23-3.40, 1 Nd 3.35, 4 Ac 3.53-3.62

ΔE_f	-28	meV per atom

=====

Record 2
DFT (PBE) results for crystalline Ac3NdTl at its relaxed geometry.

a = 5.2604 Å, b = 27.3389 Å, c = 5.2656 Å
α = 90.00°, β = 90.00°, γ = 90.00°
Last column: nearest neighbours and their distance in Å.
Space group Cmcm (No. 63)
Inequivalent atoms, fractional coordinates:
Ac 0.0000 0.0541 0.2500 x4  8 Ac 3.72-4.03, 2 Nd 3.77, 2 Tl 3.78
Ac 0.0000 0.2503 0.2500 x4  4 Ac 3.72, 4 Tl 3.72-3.74, 4 Nd 3.74-3.75
Ac 0.0000 0.4425 0.2500 x4  2 Nd 3.70, 2 Tl 3.71, 8 Ac 3.72-4.10
Nd 0.0000 0.3472 0.7500 x4  8 Ac 3.70-3.77, 4 Tl 3.72
Tl 0.0000 0.1534 0.7500 x4  8 Ac 3.71-3.78, 4 Nd 3.72

ΔE_f	-78	meV per atom

=====

Record 3
DFT (PBE) results for crystalline Ac5Nd4Tl at its relaxed geometry.

a = 4.4231 Å, b = 4.4231 Å, c = 19.8693 Å
α = 90.00°, β = 90.00°, γ = 90.00°
Last column: nearest neighbours and their distance in Å.
Space group P4/mmm (No. 123)
Inequivalent atoms, fractional coordinates:
Ac 0.0000 0.0000 0.0000 x1  8 Nd 3.72, 2 Ac 3.96
Ac 0.0000 0.0000 0.1993 x2  8 Nd 3.68-3.71, 1 Ac 3.96
Ac 0.0000 0.0000 0.4091 x2  1 Ac 3.61, 4 Tl 3.61, 4 Nd 3.81
Nd 0.5000 0.5000 0.1015 x2  8 Ac 3.68-3.72, 2 Nd 3.94-4.03
Nd 0.5000 0.5000 0.2996 x2  8 Ac 3.71-3.81, 1 Nd 3.94, 1 Tl 3.98
Tl 0.5000 0.5000 0.5000 x1  8 Ac 3.61, 2 Nd 3.98

ΔE_f	20	meV per atom

=====

Record 4
DFT (PBE) results for crystalline Ac4Nd3Tl4 at its relaxed geometry.

a = 3.8632 Å, b = 10.0197 Å, c = 20.3469 Å
α = 90.00°, β = 90.00°, γ = 90.00°
Last column: nearest neighbours and their distance in Å.
Space group Immm (No. 71)
Inequivalent atoms, fractional coordinates:
Ac 0.0000 0.1791 0.1634 x8  4 Tl 3.43-3.53, 1 Ac 3.59
Nd 0.0000 0.0000 0.4082 x4  6 Tl 3.27-3.48
Nd 0.0000 0.5000 0.5000 x2  4 Tl 3.40
Tl 0.0000 0.2790 0.0000 x4  6 Nd 3.40-3.48, 2 Ac 3.47
Tl 0.0000 0.5000 0.2214 x4  2 Nd 3.27, 6 Ac 3.43-3.53

ΔE_f	-241	meV per atom

=====

Record 5
DFT (PBE) results for crystalline Ac5NdTl4 at its relaxed geometry.

a = 3.9188 Å, b = 3.9188 Å, c = 23.6458 Å
α = 90.00°, β = 90.00°, γ = 90.00°
Last column: nearest neighbours and their distance in Å.
Space group P4/mmm (No. 123)
Inequivalent atoms, fractional coordinates:
Ac 0.0000 0.0000 0.0000 x1  8 Tl 3.60, 4 Ac 3.92
Ac 0.0000 0.0000 0.1942 x2  8 Tl 3.59, 4 Ac 3.92
Ac 0.0000 0.0000 0.3868 x2  4 Tl 3.59, 4 Nd 3.85, 4 Ac 3.92
Nd 0.5000 0.5000 0.5000 x1  8 Ac 3.85, 4 Nd 3.92
Tl 0.5000 0.5000 0.0975 x2  8 Ac 3.59-3.60, 4 Tl 3.92
Tl 0.5000 0.5000 0.2905 x2  8 Ac 3.59, 4 Tl 3.92

ΔE_f	-266	meV per atom

=====

Record 6
DFT (PBE) results for crystalline Ac2NdTl4 at its relaxed geometry.

a = 5.6640 Å, b = 5.6640 Å, c = 15.3456 Å
α = 90.00°, β = 90.00°, γ = 90.00°
Last column: nearest neighbours and their distance in Å.
Space group I4/mmm (No. 139)
Inequivalent atoms, fractional coordinates:
Ac 0.0000 0.0000 0.2413 x4  8 Tl 3.50-3.66
Nd 0.0000 0.0000 0.5000 x2  8 Tl 3.28
Tl 0.0000 0.5000 0.1072 x8  2 Nd 3.28, 1 Tl 3.29, 4 Ac 3.50-3.66

ΔE_f	-225	meV per atom
distance to the lowest polymorph of the same formula	0.077	eV per atom

=====

Record 7
DFT (PBE) results for crystalline Ac6NdTl at its relaxed geometry.

a = 5.4373 Å, b = 5.4373 Å, c = 21.9952 Å
α = 90.00°, β = 90.00°, γ = 90.00°
Last column: nearest neighbours and their distance in Å.
Space group I4/mmm (No. 139)
Inequivalent atoms, fractional coordinates:
Ac 0.0000 0.0000 0.2497 x4  12 Ac 3.84-3.99
Ac 0.0000 0.5000 0.1173 x8  2 Tl 3.75, 2 Nd 3.75, 8 Ac 3.84-3.99
Nd 0.0000 0.0000 0.0000 x2  8 Ac 3.75, 4 Tl 3.84
Tl 0.0000 0.0000 0.5000 x2  8 Ac 3.75, 4 Nd 3.84

ΔE_f	-41	meV per atom

=====

Record 8
DFT (PBE) results for crystalline AcNdTl at its relaxed geometry.

a = 11.1183 Å, b = 11.9326 Å, c = 3.9618 Å
α = 90.00°, β = 90.00°, γ = 90.00°
Last column: nearest neighbours and their distance in Å.
Space group Cmmm (No. 65)
Inequivalent atoms, fractional coordinates:
Ac 0.0000 0.2239 0.0000 x4  3 Tl 3.29-3.33
Nd 0.2204 0.5000 0.5000 x4  3 Tl 3.11-3.15
Tl 0.0000 0.0000 0.5000 x2  2 Nd 3.11, 4 Ac 3.33
Tl 0.0000 0.5000 0.0000 x2  4 Nd 3.15, 2 Ac 3.29

ΔE_f	104	meV per atom
distance to the lowest polymorph of the same formula	0.357	eV per atom

=====

Record 9
DFT (PBE) results for crystalline Ac3Nd2Tl3 at its relaxed geometry.

a = 4.0595 Å, b = 5.8125 Å, c = 24.0790 Å
α = 90.00°, β = 90.00°, γ = 90.00°
Last column: nearest neighbours and their distance in Å.
Space group Immm (No. 71)
Inequivalent atoms, fractional coordinates:
Ac 0.0000 0.0000 0.0000 x2  8 Tl 3.54-3.61
Ac 0.0000 0.5000 0.1246 x4  6 Tl 3.54-3.62, 4 Nd 3.92-3.97
Nd 0.0000 0.0000 0.2338 x4  2 Tl 3.33, 4 Nd 3.63
Tl 0.0000 0.0000 0.5000 x2  8 Ac 3.54-3.62
Tl 0.0000 0.5000 0.3760 x4  2 Nd 3.33, 6 Ac 3.54-3.61

ΔE_f	-262	meV per atom

=====

Record 10
DFT (PBE) results for crystalline AcNd2Tl4 at its relaxed geometry.

a = 5.4563 Å, b = 5.4563 Å, c = 7.9782 Å
α = 90.00°, β = 90.00°, γ = 90.00°
Last column: nearest neighbours and their distance in Å.
Space group P4/mmm (No. 123)
Inequivalent atoms, fractional coordinates:
Ac 0.0000 0.0000 0.0000 x1  8 Tl 3.51, 4 Nd 3.86
Nd 0.0000 0.0000 0.5000 x1  8 Tl 3.25
Nd 0.5000 0.5000 0.0000 x1  8 Tl 3.51, 4 Ac 3.86
Tl 0.0000 0.5000 0.2778 x4  4 Nd 3.25-3.51, 2 Ac 3.51, 1 Tl 3.55

ΔE_f	-196	meV per atom

=====

Record 11
DFT (PBE) results for crystalline AcNd2Tl2 at its relaxed geometry.

a = 5.4414 Å, b = 5.4414 Å, c = 13.4171 Å
α = 90.00°, β = 90.00°, γ = 120.00°
Last column: nearest neighbours and their distance in Å.
Space group P6_3/mmc (No. 194)
Inequivalent atoms, fractional coordinates:
Ac 0.0000 0.0000 0.2500 x2  5 Nd 3.14-3.35
Nd 0.0000 0.0000 0.0000 x2  2 Ac 3.35, 6 Tl 3.57
Nd 0.3333 0.6667 0.2500 x2  3 Ac 3.14
Tl 0.3333 0.6667 0.6261 x4  1 Tl 3.32, 3 Ac 3.55, 6 Nd 3.55-3.57

ΔE_f	54	meV per atom
distance to the lowest polymorph of the same formula	0.268	eV per atom

=====

Record 12
DFT (PBE) results for crystalline AcNd3Tl at its relaxed geometry.

a = 14.8617 Å, b = 6.8785 Å, c = 14.8310 Å
α = 90.00°, β = 99.25°, γ = 90.00°
Last column: nearest neighbours and their distance in Å.
Space group C2/c (No. 15)
Inequivalent atoms, fractional coordinates:
Ac 0.1148 0.2477 0.3852 x8  3 Nd 3.48-3.85
Nd 0.0392 0.2510 0.9612 x8  2 Tl 3.09
Nd 0.1562 0.4992 0.1573 x8  2 Tl 3.37, 5 Nd 3.43-3.59
Nd 0.1572 0.0015 0.6557 x8  2 Tl 3.35-3.37, 5 Nd 3.43-3.59
Tl 0.0000 0.2479 0.7500 x4  6 Nd 3.09-3.37
Tl 0.2500 0.2500 0.0000 x4  6 Nd 3.09-3.37

ΔE_f	20	meV per atom
distance to the lowest polymorph of the same formula	0.127	eV per atom

=====

Record 13
DFT (PBE) results for crystalline Ac15Nd4Tl at its relaxed geometry.

a = 5.5030 Å, b = 5.5030 Å, c = 27.6360 Å
α = 90.00°, β = 90.00°, γ = 90.00°
Last column: nearest neighbours and their distance in Å.
Space group P4/mmm (No. 123)
Inequivalent atoms, fractional coordinates:
Ac 0.0000 0.0000 0.0000 x1  8 Ac 3.85, 4 Tl 3.89
Ac 0.0000 0.0000 0.1984 x2  4 Nd 3.89, 8 Ac 3.91
Ac 0.0000 0.0000 0.3991 x2  4 Nd 3.89, 8 Ac 3.91-3.92
Ac 0.0000 0.5000 0.0977 x4  2 Tl 3.85, 8 Ac 3.85-3.91, 2 Nd 3.91
Ac 0.0000 0.5000 0.2987 x4  8 Ac 3.89-3.91, 4 Nd 3.91-3.92
Ac 0.0000 0.5000 0.5000 x2  8 Ac 3.89-3.92, 4 Nd 3.90
Nd 0.5000 0.5000 0.1981 x2  12 Ac 3.89-3.91
Nd 0.5000 0.5000 0.3999 x2  12 Ac 3.89-3.92
Tl 0.5000 0.5000 0.0000 x1  12 Ac 3.85-3.89

ΔE_f	-5	meV per atom

=====

Record 14
DFT (PBE) results for crystalline AcNd9Tl2 at its relaxed geometry.

a = 5.0550 Å, b = 5.0550 Å, c = 15.5714 Å
α = 90.00°, β = 90.00°, γ = 90.00°
Last column: nearest neighbours and their distance in Å.
Space group P4/mmm (No. 123)
Inequivalent atoms, fractional coordinates:
Ac 0.0000 0.0000 0.0000 x1  12 Nd 3.57-3.76
Nd 0.0000 0.5000 0.1787 x4  2 Tl 3.57, 8 Nd 3.57-3.76, 2 Ac 3.76
Nd 0.0000 0.5000 0.5000 x2  8 Nd 3.53-3.57, 4 Tl 3.55
Nd 0.5000 0.5000 0.0000 x1  4 Ac 3.57, 8 Nd 3.76
Nd 0.5000 0.5000 0.3422 x2  8 Nd 3.53-3.59, 4 Tl 3.57
Tl 0.0000 0.0000 0.3403 x2  12 Nd 3.55-3.57

ΔE_f	-113	meV per atom

=====

Record 15
DFT (PBE) results for crystalline Ac8Nd2Tl at its relaxed geometry.

a = 19.4663 Å, b = 6.0169 Å, c = 8.5240 Å
α = 90.00°, β = 111.95°, γ = 90.00°
Last column: nearest neighbours and their distance in Å.
Space group C2/m (No. 12)
Inequivalent atoms, fractional coordinates:
Ac 0.0170 0.0000 0.2625 x4  2 Tl 3.71, 1 Nd 3.80, 6 Ac 3.85-4.05
Ac 0.1097 0.5000 0.9331 x4  1 Tl 3.51, 2 Nd 3.60, 3 Ac 3.85-3.90
Ac 0.1641 0.5000 0.4229 x4  1 Tl 3.49, 3 Nd 3.62-3.90, 4 Ac 3.70-3.91
Ac 0.1803 0.0000 0.7273 x4  3 Nd 3.62-3.80, 8 Ac 3.70-4.05
Nd 0.1908 0.0000 0.1598 x4  9 Ac 3.60-3.90
Tl 0.0000 0.5000 0.5000 x2  8 Ac 3.49-3.71

ΔE_f	20	meV per atom

=====

Record 16
DFT (PBE) results for crystalline Ac9Nd4Tl11 at its relaxed geometry.

a = 18.6426 Å, b = 22.9106 Å, c = 3.8323 Å
α = 90.00°, β = 90.00°, γ = 90.00°
Last column: nearest neighbours and their distance in Å.
Space group Cmmm (No. 65)
Inequivalent atoms, fractional coordinates:
Ac 0.0000 0.0000 0.0000 x2  4 Nd 3.50, 4 Tl 3.58, 2 Ac 3.83
Ac 0.1157 0.2390 0.0000 x8  8 Tl 3.55-3.79, 1 Nd 3.59, 2 Ac 3.83
Ac 0.1221 0.4134 0.0000 x8  8 Tl 3.52-3.60, 2 Ac 3.83
Nd 0.1553 0.0856 0.0000 x8  6 Tl 3.32-3.63, 2 Ac 3.50-3.59
Tl 0.0000 0.1320 0.5000 x4  6 Ac 3.58-3.79, 4 Nd 3.63, 2 Tl 3.83
Tl 0.0000 0.3311 0.5000 x4  8 Ac 3.52-3.57, 3 Tl 3.83-3.87
Tl 0.0000 0.5000 0.5000 x2  8 Ac 3.58, 4 Tl 3.83-3.87
Tl 0.2438 0.3242 0.5000 x8  2 Nd 3.39, 1 Tl 3.41, 6 Ac 3.55-3.63
Tl 0.2444 0.5000 0.5000 x4  4 Nd 3.32, 4 Ac 3.58

ΔE_f	-287	meV per atom

=====

Record 17
DFT (PBE) results for crystalline Ac2Nd3Tl2 at its relaxed geometry.

a = 12.7493 Å, b = 4.8411 Å, c = 8.7955 Å
α = 90.00°, β = 110.21°, γ = 90.00°
Last column: nearest neighbours and their distance in Å.
Space group C2/m (No. 12)
Inequivalent atoms, fractional coordinates:
Ac 0.1411 0.0000 0.2888 x4  4 Tl 3.53-3.80, 4 Nd 3.83-3.85
Nd 0.0000 0.5000 0.5000 x2  4 Tl 3.27
Nd 0.1296 0.5000 0.9466 x4  3 Tl 3.30-3.31
Tl 0.1564 0.0000 0.7082 x4  5 Nd 3.27-3.31, 3 Ac 3.53-3.63

ΔE_f	-168	meV per atom

=====

Record 18
DFT (PBE) results for crystalline AcNdTl at its relaxed geometry.

a = 7.7907 Å, b = 7.7907 Å, c = 7.7907 Å
α = 90.00°, β = 90.00°, γ = 90.00°
Last column: nearest neighbours and their distance in Å.
Space group F-43m (No. 216)
Inequivalent atoms, fractional coordinates:
Ac 0.0000 0.0000 0.0000 x4  4 Tl 3.37
Nd 0.0000 0.0000 0.5000 x4  4 Tl 3.37
Tl 0.2500 0.2500 0.7500 x4  4 Ac 3.37, 4 Nd 3.37

ΔE_f	-51	meV per atom
distance to the lowest polymorph of the same formula	0.202	eV per atom

=====

Record 19
DFT (PBE) results for crystalline AcNdTl at its relaxed geometry.

a = 5.5260 Å, b = 5.5260 Å, c = 4.0546 Å
α = 90.00°, β = 90.00°, γ = 120.00°
Last column: nearest neighbours and their distance in Å.
Space group P3m1 (No. 156)
Inequivalent atoms, fractional coordinates:
Ac 0.0000 0.0000 0.0000 x1  6 Tl 3.63-3.94, 6 Nd 3.71-3.86, 2 Ac 4.05
Nd 0.3333 0.6667 0.4663 x1  3 Tl 3.22
Tl 0.6667 0.3333 0.5720 x1  3 Nd 3.22

ΔE_f	-157	meV per atom
distance to the lowest polymorph of the same formula	0.096	eV per atom

=====

Record 20
DFT (PBE) results for crystalline Ac4NdTl at its relaxed geometry.

a = 10.1279 Å, b = 10.1279 Å, c = 10.1279 Å
α = 90.00°, β = 90.00°, γ = 90.00°
Last column: nearest neighbours and their distance in Å.
Space group F-43m (No. 216)
Inequivalent atoms, fractional coordinates:
Ac 0.1252 0.1252 0.1252 x16  6 Ac 3.58-3.59
Nd 0.2500 0.2500 0.7500 x4  12 Ac 4.20, 4 Tl 4.39
Tl 0.0000 0.0000 0.5000 x4  12 Ac 4.20, 4 Nd 4.39

ΔE_f	327	meV per atom
distance to the lowest polymorph of the same formula	0.418	eV per atom

=====

Record 21
DFT (PBE) results for crystalline AcNd3Tl3 at its relaxed geometry.

a = 9.9567 Å, b = 9.9567 Å, c = 5.3820 Å
α = 90.00°, β = 90.00°, γ = 120.00°
Last column: nearest neighbours and their distance in Å.
Space group P6_3/m (No. 176)
Inequivalent atoms, fractional coordinates:
Ac 0.3333 0.6667 0.2500 x2  9 Tl 3.54-3.66, 3 Nd 3.92
Nd 0.0070 0.7653 0.7500 x6  4 Tl 3.22-3.51, 4 Nd 3.59
Tl 0.0644 0.4446 0.7500 x6  4 Nd 3.22-3.51, 2 Tl 3.39, 1 Ac 3.54

ΔE_f	-270	meV per atom
distance to the lowest polymorph of the same formula	0.004	eV per atom

=====

Record 22
DFT (PBE) results for crystalline Ac2Nd6Tl at its relaxed geometry.

a = 3.7602 Å, b = 10.9628 Å, c = 16.0460 Å
α = 90.00°, β = 90.00°, γ = 90.00°
Last column: nearest neighbours and their distance in Å.
Space group Immm (No. 71)
Inequivalent atoms, fractional coordinates:
Ac 0.0000 0.0000 0.1396 x4  2 Ac 3.76, 10 Nd 3.81-3.88
Nd 0.0000 0.2681 0.5000 x4  2 Tl 3.49, 6 Nd 3.66-3.76, 4 Ac 3.88
Nd 0.0000 0.3427 0.1805 x8  1 Tl 3.37, 7 Nd 3.45-3.76
Tl 0.0000 0.5000 0.0000 x2  8 Nd 3.37-3.49, 2 Tl 3.76

ΔE_f	8	meV per atom